Compound: Rb3Se2S4
Source: Alexandria
Functional: PBE
Structure: optimized geometry

ΔE_f (raw) (meV/atom): -629.9
Total moment (μB per formula unit): 0.00
D(E_F) (states/eV/atom): 0.49
Energy (eV/f.u.): -32.05
Crystal system: monoclinic

Unit cell a=15.887 b=9.349 c=9.151 alpha=90.00 beta=100.63 gamma=90.00
Space group C2/c (No. 15)
Unique sites:
Rb: 0.000 0.030 0.250
Rb: 0.140 0.414 0.879
Se: 0.170 0.164 0.558
S: 0.050 0.291 0.528
S: 0.204 0.087 0.789

=====

Compound: Sr2MoAu
Source: Alexandria
Functional: PBE
Structure: optimized geometry

Total moment (μB per formula unit): 2.59
D(E_F) (states/eV/atom): 1.10
Energy above the lowest structure with this stoichiometry (eV per atom): 0.056
Energy (eV/f.u.): -16.21
Crystal system: orthorhombic

Unit cell a=4.565 b=4.730 c=11.632 alpha=90.00 beta=90.00 gamma=90.00
Space group Amm2 (No. 38)
Unique sites:
Sr: 0.000 0.000 0.000
Sr: 0.500 0.000 0.292
Mo: 0.500 0.000 0.595
Au: 0.000 0.000 0.709

=====

Compound: Ta4InSe
Source: Alexandria
Functional: PBE
Structure: optimized geometry

ΔE_f (raw) (meV/atom): 493.0
Total moment (μB per formula unit): 0.00
D(E_F) (states/eV/atom): 0.64
Energy (eV/f.u.): -50.68
Crystal system: cubic

Unit cell a=7.874 b=7.874 c=7.874 alpha=90.00 beta=90.00 gamma=90.00
Space group F-43m (No. 216)
Unique sites:
Ta: 0.124 0.124 0.124
In: 0.250 0.250 0.750
Se: 0.000 0.000 0.500

=====

Compound: TmCd5Cu
Source: Alexandria
Functional: PBE
Structure: optimized geometry

Total moment (μB per formula unit): 0.00
D(E_F) (states/eV/atom): 0.55
Energy (eV/f.u.): -14.06
Crystal system: tetragonal

Unit cell a=4.655 b=4.655 c=7.218 alpha=90.00 beta=90.00 gamma=90.00
Space group P4/mmm (No. 123)
Unique sites:
Tm: 0.000 0.000 0.000
Cd: 0.000 0.500 0.296
Cd: 0.500 0.500 0.000
Cu: 0.000 0.000 0.500

=====

Look up the energy of the second one. -16.21 eV/f.u.